No. 1
Material: Tc3PtRh6
Method: DFT, PBE
State: optimized geometry

The structure in CIF format:
```
data_Tc3PtRh6
_chemical_formula_sum 'Tc6 Pt2 Rh12'
_symmetry_space_group_name_H-M 'P 1'
_symmetry_Int_Tables_number 1
_cell_length_a 6.9144
_cell_length_b 6.9144
_cell_length_c 6.9144
_cell_angle_alpha 103.86
_cell_angle_beta 103.86
_cell_angle_gamma 103.86
loop_
_symmetry_equiv_pos_as_xyz
'x,y,z'
loop_
_atom_site_label
_atom_site_type_symbol
_atom_site_fract_x
_atom_site_fract_y
_atom_site_fract_z
Tc1 Tc 0.5739 0.8561 0.8095
Tc2 Tc 0.8561 0.8095 0.5739
Tc3 Tc 0.1905 0.4261 0.1439
Tc4 Tc 0.8095 0.5739 0.8561
Tc5 Tc 0.1439 0.1905 0.4261
Tc6 Tc 0.4261 0.1439 0.1905
Pt1 Pt 0.0000 0.0000 0.0000
Pt2 Pt 0.5000 0.5000 0.5000
Rh1 Rh 0.2313 0.7388 0.9689
Rh2 Rh 0.2612 0.0311 0.7687
Rh3 Rh 0.4458 0.8169 0.3671
Rh4 Rh 0.0311 0.7687 0.2612
Rh5 Rh 0.3671 0.4458 0.8169
Rh6 Rh 0.1831 0.6329 0.5542
Rh7 Rh 0.8169 0.3671 0.4458
Rh8 Rh 0.6329 0.5542 0.1831
Rh9 Rh 0.9689 0.2313 0.7388
Rh10 Rh 0.5542 0.1831 0.6329
Rh11 Rh 0.7388 0.9689 0.2313
Rh12 Rh 0.7687 0.2612 0.0311
```

Results
DFT formation energy (kJ/mol of atoms): 10.0
Magnetic moment (μB/cell): 0.00
E_tot (eV/atom): -8.02

***

No. 2
Material: Tc2Pt3Rh4
Method: DFT, PBE
State: optimized geometry

The structure in CIF format:
```
data_Tc2Pt3Rh4
_chemical_formula_sum 'Tc4 Pt6 Rh8'
_symmetry_space_group_name_H-M 'P 1'
_symmetry_Int_Tables_number 1
_cell_length_a 4.7936
_cell_length_b 7.0717
_cell_length_c 8.5460
_cell_angle_alpha 72.51
_cell_angle_beta 74.05
_cell_angle_gamma 89.90
loop_
_symmetry_equiv_pos_as_xyz
'x,y,z'
loop_
_atom_site_label
_atom_site_type_symbol
_atom_site_fract_x
_atom_site_fract_y
_atom_site_fract_z
Tc1 Tc 0.6093 0.8647 0.6112
Tc2 Tc 0.8355 0.4176 0.1640
Tc3 Tc 0.3907 0.1353 0.3888
Tc4 Tc 0.1645 0.5824 0.8360
Pt1 Pt 0.0600 0.9689 0.7184
Pt2 Pt 0.3890 0.3055 0.0554
Pt3 Pt 0.9400 0.0311 0.2816
Pt4 Pt 0.6110 0.6945 0.9446
Pt5 Pt 0.2760 0.3608 0.6131
Pt6 Pt 0.7240 0.6392 0.3869
Rh1 Rh 0.5046 0.0812 0.8315
Rh2 Rh 0.9455 0.1987 0.9425
Rh3 Rh 0.4954 0.9188 0.1685
Rh4 Rh 0.0545 0.8013 0.0575
Rh5 Rh 0.1672 0.7498 0.5025
Rh6 Rh 0.2760 0.5211 0.2807
Rh7 Rh 0.8328 0.2502 0.4975
Rh8 Rh 0.7240 0.4789 0.7193
```

Results
Energy above the most stable polymorph in this dataset (meV per atom): 54
DFT formation energy (kJ/mol of atoms): -8.5
Magnetic moment (μB/cell): 0.00
E_tot (eV/atom): -7.67

***

No. 3
Material: TcPt8Rh2
Method: DFT, PBE
State: optimized geometry

The structure in CIF format:
```
data_TcPt8Rh2
_chemical_formula_sum 'Tc1 Pt8 Rh2'
_symmetry_space_group_name_H-M 'P 1'
_symmetry_Int_Tables_number 1
_cell_length_a 3.9305
_cell_length_b 6.2466
_cell_length_c 7.3576
_cell_angle_alpha 104.93
_cell_angle_beta 105.49
_cell_angle_gamma 90.00
loop_
_symmetry_equiv_pos_as_xyz
'x,y,z'
loop_
_atom_site_label
_atom_site_type_symbol
_atom_site_fract_x
_atom_site_fract_y
_atom_site_fract_z
Tc1 Tc 0.5000 0.0000 0.0000
Pt1 Pt 0.5910 0.4468 0.1821
Pt2 Pt 0.3193 0.0905 0.6385
Pt3 Pt 0.1356 0.1796 0.2711
Pt4 Pt 0.0454 0.7325 0.0908
Pt5 Pt 0.8644 0.8204 0.7289
Pt6 Pt 0.6807 0.9095 0.3615
Pt7 Pt 0.4090 0.5532 0.8179
Pt8 Pt 0.9546 0.2675 0.9092
Rh1 Rh 0.2260 0.6300 0.4520
Rh2 Rh 0.7740 0.3700 0.5480
```

Results
Energy above the most stable polymorph in this dataset (meV per atom): 0
DFT formation energy (kJ/mol of atoms): -6.4
Magnetic moment (μB/cell): 0.00
E_tot (eV/atom): -6.74

***

No. 4
Material: TcPt2Rh
Method: DFT, PBE
State: optimized geometry

The structure in CIF format:
```
data_TcPt2Rh
_chemical_formula_sum 'Tc2 Pt4 Rh2'
_symmetry_space_group_name_H-M 'P 1'
_symmetry_Int_Tables_number 1
_cell_length_a 7.0185
_cell_length_b 7.0185
_cell_length_c 5.6460
_cell_angle_alpha 51.57
_cell_angle_beta 51.57
_cell_angle_gamma 90.00
loop_
_symmetry_equiv_pos_as_xyz
'x,y,z'
loop_
_atom_site_label
_atom_site_type_symbol
_atom_site_fract_x
_atom_site_fract_y
_atom_site_fract_z
Rh1 Rh 0.0000 0.0000 0.0000
Rh2 Rh 0.7500 0.2500 0.5000
Tc1 Tc 0.5000 0.5000 0.0000
Tc2 Tc 0.2500 0.7500 0.5000
Pt1 Pt 0.6115 0.1250 0.2500
Pt2 Pt 0.1385 0.6250 0.2500
Pt3 Pt 0.3750 0.3885 0.7500
Pt4 Pt 0.8750 0.8615 0.7500
```

Results
Energy above the most stable polymorph in this dataset (meV per atom): 616
DFT formation energy (kJ/mol of atoms): 43.2
Magnetic moment (μB/cell): 0.06
E_tot (eV/atom): -7.00

***

No. 5
Material: Tc2PtRh9
Method: DFT, PBE
State: optimized geometry

The structure in CIF format:
```
data_Tc2PtRh9
_chemical_formula_sum 'Tc2 Pt1 Rh9'
_symmetry_space_group_name_H-M 'P 1'
_symmetry_Int_Tables_number 1
_cell_length_a 3.8504
_cell_length_b 3.8504
_cell_length_c 11.5907
_cell_angle_alpha 90.00
_cell_angle_beta 90.00
_cell_angle_gamma 90.00
loop_
_symmetry_equiv_pos_as_xyz
'x,y,z'
loop_
_atom_site_label
_atom_site_type_symbol
_atom_site_fract_x
_atom_site_fract_y
_atom_site_fract_z
Tc1 Tc 0.0000 0.0000 0.3292
Tc2 Tc 0.0000 0.0000 0.6708
Pt1 Pt 0.0000 0.0000 0.0000
Rh1 Rh 0.5000 0.5000 0.0000
Rh2 Rh 0.5000 0.5000 0.3363
Rh3 Rh 0.5000 0.5000 0.6637
Rh4 Rh 0.5000 0.0000 0.1731
Rh5 Rh 0.5000 0.0000 0.5000
Rh6 Rh 0.5000 0.0000 0.8269
Rh7 Rh 0.0000 0.5000 0.1731
Rh8 Rh 0.0000 0.5000 0.5000
Rh9 Rh 0.0000 0.5000 0.8269
```

Results
DFT formation energy (kJ/mol of atoms): -7.0
Magnetic moment (μB/cell): 0.00
E_tot (eV/atom): -7.82

***

No. 6
Material: TcPt2Rh
Method: DFT, PBE
State: optimized geometry

The structure in CIF format:
```
data_TcPt2Rh
_chemical_formula_sum 'Tc1 Pt2 Rh1'
_symmetry_space_group_name_H-M 'P 1'
_symmetry_Int_Tables_number 1
_cell_length_a 4.7953
_cell_length_b 4.7953
_cell_length_c 4.7982
_cell_angle_alpha 80.65
_cell_angle_beta 80.65
_cell_angle_gamma 33.24
loop_
_symmetry_equiv_pos_as_xyz
'x,y,z'
loop_
_atom_site_label
_atom_site_type_symbol
_atom_site_fract_x
_atom_site_fract_y
_atom_site_fract_z
Rh1 Rh 0.5032 0.5032 0.4906
Tc1 Tc 0.2484 0.2484 0.2557
Pt1 Pt 0.9974 0.9974 0.0059
Pt2 Pt 0.7510 0.7510 0.7478
```

Results
Energy above the most stable polymorph in this dataset (meV per atom): 47
DFT formation energy (kJ/mol of atoms): -11.8
Magnetic moment (μB/cell): 0.00
E_tot (eV/atom): -7.57